Record 1
# Zr2CuPt

An optimized crystal structure of Zr2CuPt (PBE-GGA, Alexandria via LeMat-Bulk).

The structure in POSCAR format:
```
Zr2CuPt
1.0
7.569 -0.440 -0.260
6.931 3.075 -0.260
6.931 1.259 2.817
Zr Cu Pt
2 1 1
direct
0.499 0.499 0.499
0.001 0.001 0.001
0.250 0.250 0.250
0.750 0.750 0.750
```

Values from the calculation:
**Space-group type**: R-3m, No. 166
**Total magnetization**: 0.0 μB/f.u.
**Uncorrected energy**: -28.32 eV/f.u.
**Volume**: 80.7 Å³/cell



Record 2
# BaCdBi

An optimized crystal structure of BaCdBi (PBE-GGA, Alexandria via LeMat-Bulk).

The structure in POSCAR format:
```
BaCdBi
1.0
5.473 0.000 0.000
2.736 4.740 0.000
2.736 1.580 4.469
Bi Cd Ba
1 1 1
direct
0.000 0.000 0.000
0.250 0.250 0.250
0.500 0.500 0.500
```

Values from the calculation:
**Space-group type**: F-43m, No. 216
**Total magnetization**: 0.0 μB/f.u.
**Uncorrected energy**: -8.04 eV/f.u.
**Volume**: 115.9 Å³/cell



Record 3
# In2Pt2Au

An optimized crystal structure of In2Pt2Au (PBE-GGA, Alexandria via LeMat-Bulk).

The structure in POSCAR format:
```
In2Pt2Au
1.0
-2.859 -2.169 1.747
0.555 -5.198 -0.986
1.585 -2.004 4.666
In Pt Au
2 2 1
direct
0.789 0.711 0.711
0.211 0.289 0.289
0.500 0.708 0.292
0.500 0.292 0.708
0.000 0.000 0.000
```

Values from the calculation:
**Space-group type**: Immm, No. 71
**Total magnetization**: 0.0 μB/f.u.
**Uncorrected energy**: -22.44 eV/f.u.
**Volume**: 96.4 Å³/cell